VASP calculation (GGA+U) on crystalline CaCoO3 at its relaxed geometry.

Cell lengths 5.771, 3.817, 5.911 Å; angles 90.00, 106.23, 90.00 degrees
Space group Cm (No. 8)
One atom of each set of equivalent atoms:
Ca1 0.000 0.000 0.000 [2 per cell]
Co1 0.029 0.500 0.516 [2 per cell]
O1 0.094 0.500 0.823 [2 per cell]
O2 0.384 0.500 0.530 [2 per cell]
O3 0.411 0.000 0.213 [2 per cell]

Calculated values
The total DFT energy (no corrections) comes out at -5.9689 eV/atom.